{"formula": "CeMgZrOs", "functional": "GGA-PBE", "state": "relaxed", "lattice": [[-2.528, 0.537, -4.178], [-4.902, 0.309, 0.117], [-2.216, 4.269, -0.999]], "species": ["Mg", "Os", "Zr", "Ce"], "fractional_positions": [[0.000, 0.000, 0.000], [0.500, 0.500, 0.500], [0.750, 0.750, 0.750], [0.250, 0.250, 0.250]], "ef_ev_per_fu": -0.06, "energy_ev_per_atom": -6.84, "dos_at_fermi_per_ev_atom": 1.12, "volume_a3_per_atom": 21.0}



{"formula": "NaLi3F4", "functional": "GGA-PBE", "state": "relaxed", "lattice": [[-0.419, 2.966, 0.130], [-1.735, -0.461, 4.899], [5.166, 0.728, 0.059]], "species": ["Na", "Li", "Li", "Li", "F", "F", "F", "F"], "fractional_positions": [[0.500, 0.000, 0.000], [0.000, 0.000, 0.500], [0.500, 0.500, 0.500], [0.000, 0.500, 0.000], [0.000, 0.269, 0.269], [0.500, 0.741, 0.259], [0.000, 0.731, 0.731], [0.500, 0.259, 0.741]], "energy_ev_per_atom": -4.67, "dos_at_fermi_per_ev_atom": 0.00, "formation_energy_uncorrected_kj_per_mol_fu": -2202.6, "volume_a3_per_atom": 9.6}



{"formula": "Tb2ZnPb", "functional": "GGA-PBE", "state": "relaxed", "lattice": [[4.398, 0.000, 0.000], [0.000, 6.169, 0.020], [0.000, -3.051, 7.900]], "species": ["Tb", "Tb", "Tb", "Tb", "Zn", "Zn", "Pb", "Pb"], "fractional_positions": [[0.750, 0.222, 0.418], [0.250, 0.778, 0.582], [0.250, 0.800, 0.062], [0.750, 0.200, 0.938], [0.250, 0.338, 0.207], [0.750, 0.662, 0.793], [0.750, 0.669, 0.289], [0.250, 0.331, 0.711]], "ef_ev_per_fu": -1.59, "energy_ev_per_atom": -3.96, "dos_at_fermi_per_ev_atom": 1.25, "volume_a3_per_atom": 26.8}